# 1
PBE NaInSnPd, optimized geometry; energy above the lowest structure with this stoichiometry = 0.000 eV per atom; E = -3.5567 eV per atom
1.0
-1.2506 2.6099 3.9346
-3.9871 2.8193 -0.1057
-3.9404 -1.2439 2.6044
In Sn Pd Na
1 1 1 1
Direct
0.5000 0.5000 0.5000
0.0000 0.0000 0.0000
0.2500 0.2500 0.2500
0.7500 0.7500 0.7500

***

# 2
PBE NaInTe3Pd, optimized geometry; E = -3.5032 eV per atom
1.0
-4.9661 6.7995 -1.0401
-1.9885 -1.9425 -3.2042
-3.8557 -6.9118 6.5829
Pd In Te Na
2 2 6 2
Direct
0.5083 0.2500 0.6759
0.4917 0.7500 0.3241
0.5899 0.7500 0.8713
0.4101 0.2500 0.1287
0.2973 0.2500 0.8207
0.8471 0.2500 0.8889
0.1529 0.7500 0.1111
0.3320 0.7500 0.5069
0.6680 0.2500 0.4931
0.7027 0.7500 0.1793
0.0156 0.2500 0.2854
0.9844 0.7500 0.7146

***

# 3
PBE Na4TlInPd2, optimized geometry; E = -2.7519 eV per atom
1.0
4.8835 0.0000 0.0000
0.0000 4.8835 0.0000
0.0000 0.0000 6.9002
Na Pd Tl In
4 2 1 1
Direct
0.5000 0.5000 0.0000
0.0000 0.5000 0.7499
0.5000 0.0000 0.2501
0.0000 0.0000 0.5000
0.5000 0.0000 0.7605
0.0000 0.5000 0.2395
0.5000 0.5000 0.5000
0.0000 0.0000 0.0000

***

# 4
PBE NaPmIn, optimized geometry; total magnetization = 0.010 μB per formula unit; E = -2.6185 eV per atom
1.0
0.0000 3.6801 3.6801
3.6801 0.0000 3.6801
3.6801 3.6801 0.0000
Na Pm In
1 1 1
Direct
0.0000 0.0000 0.0000
0.2500 0.2500 0.2500
0.5000 0.5000 0.5000

***

# 5
PBE NaInPt, optimized geometry; total magnetization = 0.000 μB per formula unit; E = -3.1478 eV per atom
1.0
-2.7085 0.6877 3.6091
-3.4807 2.9390 -0.2858
-4.2946 -1.5458 -0.0420
In Na Pt
1 1 1
Direct
0.2500 0.2500 0.2500
0.0000 0.0000 0.0000
0.7500 0.7500 0.7500

***

# 6
PBE NaInPt, optimized geometry; total magnetization = 0.000 μB per formula unit; E = -3.6427 eV per atom
1.0
0.0000 3.2665 3.2665
3.2665 0.0000 3.2665
3.2665 3.2665 0.0000
Na Pt In
1 1 1
Direct
0.7500 0.7500 0.7500
0.0000 0.0000 0.0000
0.2500 0.2500 0.2500